[1]
# KNa4Hg5

KNa4Hg5 after structural relaxation (GGA-PBE, Alexandria).

## Properties
Space-group type ... P4/mmm, No. 123
E_form ... -2.4 eV per formula unit

The structure in CIF format:
```
data_KNa4Hg5
_cell_length_a 3.889
_cell_length_b 3.889
_cell_length_c 18.540
_cell_angle_alpha 90.00
_cell_angle_beta 90.00
_cell_angle_gamma 90.00
_symmetry_space_group_name_H-M 'P 1'
_symmetry_Int_Tables_number 1
_symmetry_space_group_name_Hall 'P 1'
loop_
_atom_site_label
_atom_site_type_symbol
_atom_site_fract_x
_atom_site_fract_y
_atom_site_fract_z
Hg1 Hg 0.500 0.500 0.130
Na1 Na 0.000 0.000 0.782
Hg2 Hg 0.500 0.500 0.311
Hg3 Hg 0.500 0.500 0.870
K1 K 0.000 0.000 0.000
Hg4 Hg 0.500 0.500 0.500
Na2 Na 0.000 0.000 0.406
Na3 Na 0.000 0.000 0.594
Hg5 Hg 0.500 0.500 0.689
Na4 Na 0.000 0.000 0.218
```

[2]
# Ca2HgPRh

Ca2HgPRh after structural relaxation (GGA-PBE, Alexandria).

## Properties
Space-group type ... P4/mmm, No. 123
E_form ... -3.0 eV per formula unit

The structure in CIF format:
```
data_Ca2HgPRh
_cell_length_a 5.492
_cell_length_b 5.492
_cell_length_c 4.347
_cell_angle_alpha 90.00
_cell_angle_beta 90.00
_cell_angle_gamma 90.00
_symmetry_space_group_name_H-M 'P 1'
_symmetry_Int_Tables_number 1
_symmetry_space_group_name_Hall 'P 1'
loop_
_atom_site_label
_atom_site_type_symbol
_atom_site_fract_x
_atom_site_fract_y
_atom_site_fract_z
Rh1 Rh 0.000 0.000 0.500
Hg1 Hg 0.500 0.500 0.500
P1 P 0.000 0.000 0.000
Ca1 Ca 0.500 0.000 0.000
Ca2 Ca 0.000 0.500 0.000
```

[3]
# CsTl3Ni

CsTl3Ni after structural relaxation (GGA-PBE, Alexandria).

## Properties
Space-group type ... Pm-3m, No. 221
Energy relative to the lowest polymorph listed for this composition ... 1.380 eV per atom
E_form ... 7.3 eV per formula unit

The structure in CIF format:
```
data_CsTl3Ni
_cell_length_a 6.604
_cell_length_b 6.604
_cell_length_c 6.604
_cell_angle_alpha 90.00
_cell_angle_beta 90.00
_cell_angle_gamma 90.00
_symmetry_space_group_name_H-M 'P 1'
_symmetry_Int_Tables_number 1
_symmetry_space_group_name_Hall 'P 1'
loop_
_atom_site_label
_atom_site_type_symbol
_atom_site_fract_x
_atom_site_fract_y
_atom_site_fract_z
Ni1 Ni 0.500 0.500 0.500
Tl1 Tl 0.000 0.500 0.000
Tl2 Tl 0.000 0.000 0.500
Tl3 Tl 0.500 0.000 0.000
Cs1 Cs 0.000 0.000 0.000
```

[4]
# TiMn2Cr

TiMn2Cr after structural relaxation (GGA-PBE, Alexandria).

## Properties
Space-group type ... P4/mmm, No. 123
E_form ... -0.6 eV per formula unit

The structure in CIF format:
```
data_TiMn2Cr
_cell_length_a 2.895
_cell_length_b 4.087
_cell_length_c 4.087
_cell_angle_alpha 90.00
_cell_angle_beta 90.00
_cell_angle_gamma 90.00
_symmetry_space_group_name_H-M 'P 1'
_symmetry_Int_Tables_number 1
_symmetry_space_group_name_Hall 'P 1'
loop_
_atom_site_label
_atom_site_type_symbol
_atom_site_fract_x
_atom_site_fract_y
_atom_site_fract_z
Ti1 Ti 0.500 0.000 0.000
Mn1 Mn 0.000 0.500 0.000
Mn2 Mn 0.000 0.000 0.500
Cr1 Cr 0.500 0.500 0.500
```

[5]
# AgB6Pt12

AgB6Pt12 after structural relaxation (GGA-PBE, Alexandria).

## Properties
Space-group type ... R-3m, No. 166
E_form ... -1.6 eV per formula unit

The structure in CIF format:
```
data_AgB6Pt12
_cell_length_a 6.751
_cell_length_b 6.751
_cell_length_c 6.751
_cell_angle_alpha 105.40
_cell_angle_beta 105.40
_cell_angle_gamma 105.40
_symmetry_space_group_name_H-M 'P 1'
_symmetry_Int_Tables_number 1
_symmetry_space_group_name_Hall 'P 1'
loop_
_atom_site_label
_atom_site_type_symbol
_atom_site_fract_x
_atom_site_fract_y
_atom_site_fract_z
Pt1 Pt 0.130 0.500 0.870
Pt2 Pt 0.552 0.818 0.552
B1 B 0.233 0.233 0.644
B2 B 0.233 0.644 0.233
Pt3 Pt 0.870 0.500 0.130
Pt4 Pt 0.500 0.130 0.870
Pt5 Pt 0.130 0.870 0.500
Pt6 Pt 0.818 0.552 0.552
Pt7 Pt 0.448 0.182 0.448
Pt8 Pt 0.182 0.448 0.448
Ag1 Ag 0.000 0.000 0.000
B3 B 0.767 0.356 0.767
Pt9 Pt 0.870 0.130 0.500
Pt10 Pt 0.448 0.448 0.182
B4 B 0.356 0.767 0.767
B5 B 0.644 0.233 0.233
Pt11 Pt 0.500 0.870 0.130
B6 B 0.767 0.767 0.356
Pt12 Pt 0.552 0.552 0.818
```

[6]
# BaZr2Sb

BaZr2Sb after structural relaxation (GGA-PBE, Alexandria).

## Properties
Space-group type ... Imm2, No. 44
Formation energy (no corrections) ... 9.59 kJ/mol of atoms

The structure in CIF format:
```
data_BaZr2Sb
_cell_length_a 6.897
_cell_length_b 6.897
_cell_length_c 6.897
_cell_angle_alpha 143.39
_cell_angle_beta 142.41
_cell_angle_gamma 53.48
_symmetry_space_group_name_H-M 'P 1'
_symmetry_Int_Tables_number 1
_symmetry_space_group_name_Hall 'P 1'
loop_
_atom_site_label
_atom_site_type_symbol
_atom_site_fract_x
_atom_site_fract_y
_atom_site_fract_z
Zr1 Zr 0.069 0.069 0.000
Zr2 Zr 0.739 0.239 0.500
Ba1 Ba 0.465 0.465 0.000
Sb1 Sb 0.227 0.727 0.500
```

[7]
# NaSr2SnH

NaSr2SnH after structural relaxation (GGA-PBE, Alexandria).

## Properties
Space-group type ... P4/mmm, No. 123
Final energy ... -14.35 eV for the cell shown

The structure in CIF format:
```
data_NaSr2SnH
_cell_length_a 5.336
_cell_length_b 5.336
_cell_length_c 4.707
_cell_angle_alpha 90.00
_cell_angle_beta 90.00
_cell_angle_gamma 90.00
_symmetry_space_group_name_H-M 'P 1'
_symmetry_Int_Tables_number 1
_symmetry_space_group_name_Hall 'P 1'
loop_
_atom_site_label
_atom_site_type_symbol
_atom_site_fract_x
_atom_site_fract_y
_atom_site_fract_z
Na1 Na 0.000 0.000 0.500
Sr1 Sr 0.000 0.500 0.000
Sr2 Sr 0.500 0.000 0.000
Sn1 Sn 0.500 0.500 0.500
H1 H 0.000 0.000 0.000
```

[8]
# YZrCl2

YZrCl2 after structural relaxation (GGA-PBE, Alexandria).

## Properties
Space-group type ... Imm2, No. 44
Formation energy (no corrections) ... -73.27 kJ/mol of atoms
Energy relative to the lowest polymorph listed for this composition ... 0.571 eV per atom

The structure in CIF format:
```
data_YZrCl2
_cell_length_a 6.442
_cell_length_b 6.442
_cell_length_c 6.442
_cell_angle_alpha 150.42
_cell_angle_beta 137.07
_cell_angle_gamma 53.00
_symmetry_space_group_name_H-M 'P 1'
_symmetry_Int_Tables_number 1
_symmetry_space_group_name_Hall 'P 1'
loop_
_atom_site_label
_atom_site_type_symbol
_atom_site_fract_x
_atom_site_fract_y
_atom_site_fract_z
Cl1 Cl 0.284 0.784 0.500
Y1 Y 0.491 0.491 0.000
Cl2 Cl 0.962 0.962 0.000
Zr1 Zr 0.763 0.263 0.500
```

Calculated D(E_F) (states/eV/cell), listed in the same order as above: 4.4 2.6 12.2 2.5 5.5 4.8 0.7 3.8